The following is a DFT calculation (PBE-GGA) of a relaxed Sr4CaIn3 crystal.

Computed properties:
**Raw total energy**: -2.437 eV per atom
**E_form**: -319 meV/atom
**Total magnetic moment**: 0.0 Bohr magnetons per cell

a b c (Å): 5.806 5.806 8.537
angles (deg): 90.00 90.00 90.00
Positions (direct):
Sr1 0.000 0.500 0.231
Sr2 0.000 0.500 0.769
Sr3 0.500 0.000 0.231
Sr4 0.500 0.000 0.769
Ca1 0.000 0.000 0.500
In1 0.000 0.000 0.000
In2 0.500 0.500 0.000
In3 0.500 0.500 0.500



The following is a DFT calculation (PBE-GGA) of a relaxed ThSeF crystal.

Computed properties:
**Raw total energy**: -6.505 eV per atom
**Uncorrected formation energy**: -2.2464 eV/atom
**Total magnetic moment**: 0.0 Bohr magnetons per cell

a b c (Å): 5.423 5.423 5.423
angles (deg): 141.71 141.71 55.26
Positions (direct):
Th1 0.000 0.000 0.000
Se1 0.324 0.324 0.000
F1 0.610 0.610 0.000